No. 1
VASP calculation (GGA-PBE) on a relaxed HfTc2Sn2 crystal.

Cell: 7.4943 7.4943 3.3476 Å, 90.00 90.00 90.00°
Closest atoms and distances in Å follow each position.
Space group P4/mbm (No. 127)
Unique sites:
Hf  0.0000  0.0000  0.0000 [2 per cell]  4 Tc 2.91
Tc  0.1374  0.3626  0.0000 [4 per cell]  6 Sn 2.72-2.79, 2 Hf 2.91, 1 Tc 2.91
Sn  0.1602  0.6602  0.5000 [4 per cell]  6 Tc 2.72-2.79

Values from the calculation:
**ΔH_f (0 K)**: 0.011 eV/atom

No. 2
VASP calculation (GGA-PBE) on a relaxed TlSiW crystal.

Cell: 6.3343 6.3343 6.3343 Å, 90.00 90.00 90.00°
Closest atoms and distances in Å follow each position.
Space group F-43m (No. 216)
Unique sites:
Tl  0.0000  0.0000  0.0000 [4 per cell]  4 W 2.74
Si  0.0000  0.0000  0.5000 [4 per cell]  4 W 2.74
W  0.2500  0.2500  0.2500 [4 per cell]  4 Tl 2.74, 4 Si 2.74

Values from the calculation:
**E above lowest polymorph**: 584 meV/atom
**Raw formation energy**: 1.109 eV per atom

No. 3
VASP calculation (GGA-PBE) on a relaxed EuPdAu2 crystal.

Cell: 4.6561 4.6561 14.5142 Å, 90.00 90.00 120.00°
Closest atoms and distances in Å follow each position.
Space group R-3m (No. 166, hexagonal axes)
Unique sites:
Eu  0.0000  0.0000  0.0000 [3 per cell]  8 Au 3.09-3.21
Pd  0.0000  0.0000  0.5000 [3 per cell]  6 Au 2.77
Au  0.0000  0.0000  0.2126 [6 per cell]  3 Pd 2.77, 3 Au 3.00, 1 Eu 3.09

Values from the calculation:
**E above lowest polymorph**: 0 meV/atom
**ΔH_f (0 K)**: -0.528 eV/atom

No. 4
VASP calculation (GGA-PBE) on a relaxed RbU2PN5 crystal.

Cell: 6.6783 6.6783 10.7555 Å, 90.00 90.00 90.00°
Closest atoms and distances in Å follow each position.
Space group I4/mcm (No. 140)
Unique sites:
Rb  0.0000  0.0000  0.2500 [4 per cell]  10 N 2.69-2.87
U  0.1952  0.3048  0.0000 [8 per cell]  4 N 2.26-2.42
P  0.0000  0.5000  0.2500 [4 per cell]  4 N 1.68
N  0.0000  0.0000  0.0000 [4 per cell]  4 U 2.42, 2 Rb 2.69
N  0.1292  0.3708  0.3575 [16 per cell]  1 P 1.68

Values from the calculation:
**Raw formation energy**: -0.753 eV per atom

No. 5
VASP calculation (GGA-PBE) on a relaxed Pm4NdYS8 crystal.

Cell: 8.2747 8.2747 20.1416 Å, 90.00 90.00 120.00°
Closest atoms and distances in Å follow each position.
Space group R3m (No. 160, hexagonal axes)
Unique sites:
Pm  0.0000  0.0000  0.0000 [3 per cell]  4 S 2.67-2.70
Pm  0.0006  0.5003  0.8760 [9 per cell]  6 S 2.84
Nd  0.0000  0.0000  0.7518 [3 per cell]  4 S 2.69-2.72
Y  0.0000  0.0000  0.3759 [3 per cell]  6 S 2.77
S  0.0000  0.0000  0.1327 [3 per cell]  4 Pm 2.67-2.84
S  0.0000  0.0000  0.6182 [3 per cell]  1 Nd 2.69, 3 Pm 2.84
S  0.0274  0.5137  0.1266 [9 per cell]  1 Nd 2.72, 1 Y 2.77, 2 Pm 2.84
S  0.1793  0.3586  0.9591 [9 per cell]  3 Pm 2.70-2.84, 1 Y 2.77

Values from the calculation:
**Raw formation energy**: -1.921 eV per atom

No. 6
VASP calculation (GGA-PBE) on a relaxed La2Pr7Y2 crystal.

Cell: 11.7805 11.7066 6.2297 Å, 90.00 112.34 90.00°
Closest atoms and distances in Å follow each position.
Space group C2/m (No. 12)
Unique sites:
La  0.0755  0.0000  0.3048 [4 per cell]  2 La 3.52-3.53, 6 Pr 3.57-3.90, 2 Y 3.77
Pr  0.0000  0.5000  0.5000 [2 per cell]  6 Pr 3.36-3.66
Pr  0.1816  0.2698  0.6773 [8 per cell]  3 Pr 3.22-3.46, 2 Y 3.45-3.58
Pr  0.2289  0.5000  0.0946 [4 per cell]  5 Pr 3.46-3.66, 2 Y 3.57, 2 La 3.57-3.78
Y  0.0000  0.2849  0.0000 [4 per cell]  6 Pr 3.45-3.58, 2 La 3.77

Values from the calculation:
**E above lowest polymorph**: 0 meV/atom
**ΔH_f (0 K)**: 0.121 eV/atom

No. 7
VASP calculation (GGA-PBE) on a relaxed GdZrZnGa crystal.

Cell: 6.9395 6.9395 6.9395 Å, 90.00 90.00 90.00°
Closest atoms and distances in Å follow each position.
Space group F-43m (No. 216)
Unique sites:
Gd  0.0000  0.0000  0.0000 [4 per cell]  4 Ga 3.00, 4 Zn 3.00
Zr  0.0000  0.0000  0.5000 [4 per cell]  4 Zn 3.00, 4 Ga 3.00
Zn  0.2500  0.2500  0.2500 [4 per cell]  4 Gd 3.00, 4 Zr 3.00
Ga  0.2500  0.2500  0.7500 [4 per cell]  4 Zr 3.00, 4 Gd 3.00

Values from the calculation:
**ΔH_f (0 K)**: -0.370 eV/atom

No. 8
VASP calculation (GGA-PBE) on a relaxed La4SnTe2Pb crystal.

Cell: 8.0297 4.6486 8.0440 Å, 90.00 109.52 90.00°
Closest atoms and distances in Å follow each position.
Space group P2/m (No. 10)
Unique sites:
La  0.2414  0.0000  0.2452 [2 per cell]  2 Sn 3.24, 1 Pb 3.26, 3 Te 3.31-3.33
La  0.2429  0.5000  0.7493 [2 per cell]  1 Sn 3.24, 2 Pb 3.26, 3 Te 3.31-3.32
Sn  0.0000  0.5000  0.0000 [1 per cell]  6 La 3.24
Te  0.5000  0.0000  0.0000 [1 per cell]  6 La 3.31
Te  0.5000  0.5000  0.5000 [1 per cell]  6 La 3.32-3.33
Pb  0.0000  0.0000  0.5000 [1 per cell]  6 La 3.26

Values from the calculation:
**Raw formation energy**: -1.159 eV per atom

No. 9
VASP calculation (GGA-PBE) on a relaxed Ce3Nd2Pt2 crystal.

Cell: 12.0093 3.8684 8.9677 Å, 90.00 113.38 90.00°
Closest atoms and distances in Å follow each position.
Space group C2/m (No. 12)
Unique sites:
Ce  0.0000  0.0000  0.0000 [2 per cell]  4 Pt 2.90
Ce  0.1070  0.0000  0.4514 [4 per cell]  3 Pt 2.91-3.15, 1 Ce 3.02
Nd  0.1624  0.5000  0.8168 [4 per cell]  2 Pt 3.16
Pt  0.1489  0.5000  0.2364 [4 per cell]  5 Ce 2.90-3.15, 2 Nd 3.16

Values from the calculation:
**ΔH_f (0 K)**: -0.624 eV/atom

No. 10
VASP calculation (GGA-PBE) on a relaxed YH3Rh crystal.

Cell: 3.8200 3.8200 15.0212 Å, 90.00 90.00 90.00°
Closest atoms and distances in Å follow each position.
Space group I-4m2 (No. 119)
Unique sites:
Y  0.0000  0.0000  0.0000 [2 per cell]  4 H 2.18
Y  0.0000  0.5000  0.2500 [2 per cell]  8 H 2.20-2.36
H  0.0000  0.0000  0.3425 [4 per cell]  2 Rh 1.91, 4 H 2.10
H  0.0000  0.3872  0.1064 [8 per cell]  1 H 0.86
Rh  0.0000  0.5000  0.6503 [4 per cell]  2 H 1.91

Values from the calculation:
**Energy**: -4.863 eV/atom

No. 11
VASP calculation (GGA-PBE) on a relaxed Na5SnTe6 crystal.

Cell: 8.5782 9.8157 8.5833 Å, 90.00 97.65 90.00°
Closest atoms and distances in Å follow each position.
Space group C2/m (No. 12)
Unique sites:
Na  0.0000  0.0000  0.0000 [2 per cell]  6 Te 3.27-3.28, 2 Na 3.29
Na  0.0000  0.1641  0.5000 [4 per cell]  1 Na 3.22, 6 Te 3.24-3.27, 1 Sn 3.30
Na  0.0000  0.3353  0.0000 [4 per cell]  6 Te 3.21-3.33, 2 Na 3.23-3.29
Sn  0.0000  0.5000  0.5000 [2 per cell]  6 Te 3.18-3.21, 2 Na 3.30
Te  0.2456  0.3387  0.7479 [8 per cell]  2 Te 3.17-3.33, 1 Sn 3.21, 5 Na 3.21-3.33
Te  0.2465  0.5000  0.2548 [4 per cell]  1 Sn 3.18, 5 Na 3.25-3.28, 2 Te 3.33

Values from the calculation:
**Raw formation energy**: -0.568 eV per atom

No. 12
VASP calculation (GGA-PBE) on a relaxed CaAs2BrN crystal.

Cell: 4.1779 4.1779 6.4987 Å, 90.00 90.00 90.00°
Closest atoms and distances in Å follow each position.
Space group P4/mmm (No. 123)
Unique sites:
Ca  0.0000  0.0000  0.0000 [1 per cell]  4 Br 2.95
As  0.0000  0.5000  0.5000 [2 per cell]  2 N 2.09
Br  0.5000  0.5000  0.0000 [1 per cell]  4 Ca 2.95, 2 N 3.25
N  0.5000  0.5000  0.5000 [1 per cell]  4 As 2.09

Values from the calculation:
**E above lowest polymorph**: 0 meV/atom
**Raw formation energy**: 0.072 eV per atom

no.,spin magnetization (μB per cell)
1,0.000
2,3.999
3,21.043
4,12.030
5,0.000
6,0.000
7,28.137
8,0.000
9,3.584
10,0.000
11,0.000
12,0.272